H10PdRh4 | PBE-GGA | optimized geometry

Calculated values
- total energy (eV/atom) = -4.548
- total magnetic moment (μB/f.u.) = 0.0

Cell and atoms, written as CIF:
```
data_H10PdRh4
_chemical_formula_sum 'H20 Pd2 Rh8'
_space_group_name_H-M_alt 'I 4/m'
_space_group_IT_number 87
_space_group_name_Hall '-I 4'
_cell_length_a 6.9007
_cell_length_b 6.9007
_cell_length_c 4.3887
_cell_angle_alpha 90.00
_cell_angle_beta 90.00
_cell_angle_gamma 90.00
loop_
_atom_site_label
_atom_site_fract_x
_atom_site_fract_y
_atom_site_fract_z
H1 0.0000 0.5000 0.2500
H2 0.1048 0.7926 0.2380
Pd1 0.0000 0.0000 0.5000
Rh1 0.1003 0.3001 0.0000
```